The following is a PBE calculation of a relaxed structure of TlMo2Ir, from Alexandria via LeMat-Bulk.

Unit cell a=5.0616 b=5.0616 c=4.8324 alpha=78.76 beta=78.76 gamma=34.79
Last column: nearest neighbours and their distance in Å.
Positions (direct):
Ir 0.2500 0.2500 0.2500  6 Mo 2.78-2.89, 4 Tl 2.85, 2 Ir 3.03
Mo 0.9900 0.9900 0.0412  2 Mo 2.56, 2 Ir 2.78
Mo 0.5100 0.5100 0.4588  2 Mo 2.56, 2 Ir 2.78
Tl 0.7500 0.7500 0.7500  4 Ir 2.85, 6 Mo 2.95-3.02, 2 Tl 3.03

Computed properties:
- size of the total moment (μB/atom) = 0.00
- E (eV/atom) = -7.808
- energy relative to the lowest polymorph listed for this composition (eV/atom) = 0.096
- formation enthalpy at 0 K (eV/atom) = 0.41